Record 1
The following is a DFT calculation (GGA-PBE) of crystalline CeSnGe at its relaxed geometry.

Values from the calculation:
Density, g/cm³: 7.31
Uncorrected energy, eV per atom: -5.443
Space group: Cmcm, No. 63
N(E_F), states/eV/cell: 18.89

Cell and atoms, written as POSCAR:
```
CeSnGe
1.0
4.3960 0.0000 0.0000
0.0000 16.6993 0.0000
0.0000 0.0000 4.1004
Ce Sn Ge
4 4 4
Direct
0.0000 0.0952 0.2500
0.0000 0.9048 0.7500
0.5000 0.4048 0.7500
0.5000 0.5952 0.2500
0.0000 0.2554 0.7500
0.0000 0.7446 0.2500
0.5000 0.2446 0.2500
0.5000 0.7554 0.7500
0.0000 0.4482 0.2500
0.0000 0.5518 0.7500
0.5000 0.0518 0.7500
0.5000 0.9482 0.2500
```

---

Record 2
The following is a DFT calculation (GGA-PBE) of crystalline ZrCuReBi at its relaxed geometry.

Values from the calculation:
Density, g/cm³: 11.83
Uncorrected energy, eV per atom: -6.938
Space group: Pmm2, No. 25
N(E_F), states/eV/cell: 2.52

Cell and atoms, written as POSCAR:
```
ZrCuReBi
1.0
3.2843 0.0000 0.0000
0.0000 4.5553 0.0000
0.0000 0.0000 5.1605
Zr Cu Re Bi
1 1 1 1
Direct
0.0000 0.0000 0.0000
0.0000 0.5000 0.6812
0.5000 0.0000 0.5783
0.5000 0.5000 0.2425
```

---

Record 3
The following is a DFT calculation (GGA-PBE) of crystalline La3PrHo7 at its relaxed geometry.

Values from the calculation:
Density, g/cm³: 7.63
Uncorrected energy, eV per atom: -4.574
Space group: P-1, No. 2
N(E_F), states/eV/cell: 16.91

Cell and atoms, written as POSCAR:
```
La3PrHo7
1.0
6.5832 0.0000 0.0000
-0.5980 6.7018 0.0000
-1.3067 -1.5638 8.4481
La Pr Ho
3 1 7
Direct
0.0000 0.0000 0.0000
0.1992 0.5600 0.1612
0.8008 0.4400 0.8388
0.5000 0.0000 0.5000
0.0128 0.7665 0.5812
0.2781 0.2768 0.7861
0.4395 0.7933 0.8542
0.5000 0.5000 0.5000
0.5605 0.2067 0.1458
0.7219 0.7232 0.2139
0.9872 0.2335 0.4188
```